Entry 1:
VASP calculation (PBE-GGA) on a relaxed structure of SrAgSb3.

a = 5.4612 Å, b = 5.4612 Å, c = 5.4612 Å
α = 90.00°, β = 90.00°, γ = 90.00°
Space group Pm-3m (No. 221)
Inequivalent atoms, fractional coordinates:
1 Sr 0.0000 0.0000 0.0000 (multiplicity 1)
2 Ag 0.5000 0.5000 0.5000 (multiplicity 1)
3 Sb 0.0000 0.5000 0.5000 (multiplicity 3)

* formation energy from raw total energies: 0.0027 eV per atom
* VASP energy: -16.887 eV per cell

=====

Entry 2:
VASP calculation (PBE-GGA) on a relaxed structure of SrAg4Sb2.

a = 4.7841 Å, b = 4.7841 Å, c = 25.2948 Å
α = 90.00°, β = 90.00°, γ = 120.00°
Space group R-3m (No. 166, hexagonal axes)
Inequivalent atoms, fractional coordinates:
1 Sr 0.0000 0.0000 0.0000 (multiplicity 3)
2 Ag 0.0000 0.0000 0.1433 (multiplicity 6)
3 Ag 0.0000 0.0000 0.4343 (multiplicity 6)
4 Sb 0.0000 0.0000 0.2562 (multiplicity 6)

* formation energy from raw total energies: -0.2986 eV per atom
* VASP energy: -70.265 eV per cell

=====

> Number 1 is which compound?

SrAgSb3

=====

> Which value of VASP energy does entry 1 give?

-16.887 eV per cell